Rb4LiAu4: optimized geometry, PBE-GGA.

Lattice parameters (Å, degrees): 7.0824 8.6507 7.0824 65.84 90.00 114.16
With the nearest neighbours (Å) after each atom.
Positions (direct):
Au  0.6787  0.7770  0.3213  1 Li 2.62
Au  0.0983  0.7770  0.9017  1 Li 2.62
Au  0.9017  0.2230  0.6787  1 Li 2.62
Au  0.3213  0.2230  0.0983  1 Li 2.62
Li  0.0000  0.0000  0.0000  4 Au 2.62
Rb  0.5768  0.7272  0.8495  1 Li 3.46, 6 Au 3.56-3.62
Rb  0.8495  0.2728  0.1505  1 Li 3.46, 6 Au 3.56-3.62
Rb  0.1505  0.7272  0.4232  1 Li 3.46, 6 Au 3.56-3.62
Rb  0.4232  0.2728  0.5768  1 Li 3.46, 6 Au 3.56-3.62

## Properties
**Energy of formation**: -0.25 eV per atom
**Space group**: I-42m (121)

SmBiAu2: optimized geometry, PBE-GGA.

Lattice parameters (Å, degrees): 5.1482 5.1482 5.1482 60.00 60.00 60.00
With the nearest neighbours (Å) after each atom.
Positions (direct):
Au  0.2500  0.2500  0.2500  4 Bi 3.15, 4 Sm 3.15
Au  0.7500  0.7500  0.7500  4 Bi 3.15, 4 Sm 3.15
Bi  0.5000  0.5000  0.5000  8 Au 3.15
Sm  0.0000  0.0000  0.0000  8 Au 3.15

## Properties
**Energy of formation**: -0.60 eV per atom
**Space group**: Fm-3m (225)

BiOsIN2: optimized geometry, PBE-GGA.

Lattice parameters (Å, degrees): 4.0658 4.0658 5.7892 90.00 90.00 90.00
With the nearest neighbours (Å) after each atom.
Positions (direct):
N  0.0000  0.5000  0.0000  2 Os 2.03
N  0.5000  0.0000  0.0000  2 Os 2.03
Os  0.0000  0.0000  0.0000  4 N 2.03
Bi  0.5000  0.5000  0.5000  4 I 2.87
I  0.0000  0.0000  0.5000  4 Bi 2.87, 2 Os 2.89

## Properties
**Formation energy without anion corrections**: 1.245 eV/atom
**Space group**: P4/mmm (123)

BaGdCdSn: optimized geometry, PBE-GGA.

Lattice parameters (Å, degrees): 5.6787 5.6787 5.6787 60.00 60.00 60.00
With the nearest neighbours (Å) after each atom.
Positions (direct):
Sn  0.2500  0.2500  0.2500  4 Gd 3.48, 4 Ba 3.48
Ba  0.5000  0.5000  0.5000  4 Sn 3.48, 4 Cd 3.48
Gd  0.0000  0.0000  0.0000  4 Cd 3.48, 4 Sn 3.48
Cd  0.7500  0.7500  0.7500  4 Gd 3.48, 4 Ba 3.48

## Properties
**Energy of formation**: -0.41 eV per atom
**Space group**: F-43m (216)

YZrBr2: optimized geometry, PBE-GGA.

Lattice parameters (Å, degrees): 4.8230 4.8230 9.9272 75.94 75.94 90.00
With the nearest neighbours (Å) after each atom.
Positions (direct):
Br  0.8750  0.8888  0.7500  2 Zr 2.86, 2 Y 2.92
Br  0.6388  0.1250  0.2500  2 Zr 2.86, 2 Y 2.92
Br  0.3750  0.3612  0.7500  2 Zr 2.86, 2 Y 2.92
Br  0.1112  0.6250  0.2500  2 Zr 2.86, 2 Y 2.92
Zr  0.0000  0.0000  0.0000  4 Br 2.86
Zr  0.7500  0.2500  0.5000  4 Br 2.86
Y  0.5000  0.5000  0.0000  4 Br 2.92
Y  0.2500  0.7500  0.5000  4 Br 2.92

## Properties
**Formation energy without anion corrections**: -0.502 eV/atom
**Space group**: I-42d (122)

Tb4PmAu5: optimized geometry, PBE-GGA.

Lattice parameters (Å, degrees): 3.6018 3.6018 18.4369 90.00 90.00 90.00
With the nearest neighbours (Å) after each atom.
Positions (direct):
Au  0.5000  0.5000  0.5000  8 Tb 3.14
Au  0.5000  0.5000  0.8934  4 Tb 3.10, 4 Pm 3.22
Au  0.5000  0.5000  0.1066  4 Tb 3.10, 4 Pm 3.22
Au  0.5000  0.5000  0.3018  8 Tb 3.13-3.14
Au  0.5000  0.5000  0.6982  8 Tb 3.13-3.14
Tb  0.0000  0.0000  0.4007  8 Au 3.13-3.14
Tb  0.0000  0.0000  0.2023  8 Au 3.10-3.14
Tb  0.0000  0.0000  0.5993  8 Au 3.13-3.14
Tb  0.0000  0.0000  0.7977  8 Au 3.10-3.14
Pm  0.0000  0.0000  0.0000  8 Au 3.22, 4 Pm 3.60

## Properties
**Energy of formation**: -0.84 eV per atom
**Space group**: P4/mmm (123)

LaZrPb2: optimized geometry, PBE-GGA.

Lattice parameters (Å, degrees): 5.8372 3.3428 5.8377 89.98 90.00 90.00
With the nearest neighbours (Å) after each atom.
Positions (direct):
Pb  0.5000  0.1639  0.3745  2 Zr 3.08, 2 La 3.28, 2 Pb 3.34
Pb  0.0000  0.1641  0.8755  2 Zr 3.08, 2 La 3.28, 2 Pb 3.34
Zr  0.0000  0.4559  0.3754  4 Pb 3.08, 2 Zr 3.34
La  0.5000  0.7162  0.8745  8 Pb 3.28-3.45, 2 La 3.34

## Properties
**Energy of formation**: -0.24 eV per atom
**Space group**: Pm (6)

AcCeSbPd: optimized geometry, PBE-GGA.

Lattice parameters (Å, degrees): 5.4632 5.4632 5.4632 60.00 60.00 60.00
With the nearest neighbours (Å) after each atom.
Positions (direct):
Ac  0.2500  0.2500  0.2500  4 Pd 3.35, 4 Sb 3.35
Ce  0.7500  0.7500  0.7500  4 Sb 3.35, 4 Pd 3.35
Pd  0.5000  0.5000  0.5000  4 Ce 3.35, 4 Ac 3.35
Sb  0.0000  0.0000  0.0000  4 Ac 3.35, 4 Ce 3.35

## Properties
**Formation energy without anion corrections**: -0.673 eV/atom
**Space group**: F-43m (216)

Tm2CdPt3: optimized geometry, PBE-GGA.

Lattice parameters (Å, degrees): 3.4549 3.4549 9.8630 90.00 90.00 90.00
With the nearest neighbours (Å) after each atom.
Positions (direct):
Pt  0.0000  0.0000  0.3372  4 Tm 2.91, 4 Cd 2.92, 1 Pt 3.21
Pt  0.0000  0.0000  0.6628  4 Tm 2.91, 4 Cd 2.92, 1 Pt 3.21
Pt  0.0000  0.0000  0.0000  8 Tm 3.00, 2 Pt 3.33
Tm  0.5000  0.5000  0.1773  8 Pt 2.91-3.00, 1 Cd 3.18
Tm  0.5000  0.5000  0.8227  8 Pt 2.91-3.00, 1 Cd 3.18
Cd  0.5000  0.5000  0.5000  8 Pt 2.92, 2 Tm 3.18

## Properties
**Energy of formation**: -1.01 eV per atom
**Space group**: P4/mmm (123)

ZrReSe2: optimized geometry, PBE-GGA.

Lattice parameters (Å, degrees): 4.9686 5.1940 3.5345 73.27 83.70 116.17
With the nearest neighbours (Å) after each atom.
Positions (direct):
Zr  0.0000  0.5000  0.5000  4 Se 2.69, 2 Re 2.89
Se  0.0000  0.0000  0.0000  2 Re 2.69, 2 Zr 2.69, 2 Se 2.89
Se  0.5000  0.0000  0.5000  2 Zr 2.69, 2 Re 2.69, 2 Se 2.89
Re  0.5000  0.5000  0.0000  4 Se 2.69, 2 Zr 2.89

## Properties
**Formation energy without anion corrections**: 0.183 eV/atom
**Space group**: C2/m (12)

Ru4Pt5: optimized geometry, PBE-GGA.

Lattice parameters (Å, degrees): 3.8761 6.1875 6.1875 95.63 108.25 71.75
With the nearest neighbours (Å) after each atom.
Positions (direct):
Pt  0.6696  0.0000  0.3392  6 Pt 2.71-2.82, 6 Ru 2.75-2.81
Pt  0.0000  0.0000  0.0000  8 Pt 2.78, 4 Ru 2.88
Pt  0.3304  0.0000  0.6608  6 Pt 2.71-2.82, 6 Ru 2.75-2.81
Pt  0.3304  0.3392  0.0000  6 Pt 2.71-2.82, 6 Ru 2.75-2.81
Pt  0.6696  0.6608  0.0000  6 Pt 2.71-2.82, 6 Ru 2.75-2.81
Ru  0.0000  0.6538  0.6538  5 Ru 2.56-2.65, 6 Pt 2.75-2.81
Ru  0.0000  0.3462  0.3462  5 Ru 2.56-2.65, 6 Pt 2.75-2.81
Ru  0.6538  0.3462  0.6538  5 Ru 2.56-2.65, 6 Pt 2.75-2.81
Ru  0.3462  0.6538  0.3462  5 Ru 2.56-2.65, 6 Pt 2.75-2.81

## Properties
**Energy of formation**: -0.03 eV per atom
**Space group**: I4/mmm (139)

no.,E_tot (eV per atom)
1,-2.3531
2,-4.3879
3,-5.4174
4,-5.6367
5,-5.0915
6,-4.8058
7,-5.4620
8,-5.5124
9,-5.6728
10,-6.8082
11,-7.5058